# 1
A plane-wave DFT calculation with PBE was carried out for crystalline Hf2TiCuAs at its relaxed geometry.

Cell and atoms, written as POSCAR:
```
Hf2TiCuAs
1.0
-4.191 0.584 -2.683
-2.347 -1.413 3.358
-0.422 4.701 1.683
Cu Hf Ti As
1 2 1 1
direct
0.000 0.500 0.000
0.500 0.000 0.000
0.000 0.000 0.500
0.500 0.500 0.500
0.000 0.000 0.000
```

Formation energy from the elements ... 367 meV per atom
Symmetry ... P4/mmm
Magnetic moment ... 1.9 μB/f.u.

---

# 2
A plane-wave DFT calculation with PBE was carried out for crystalline Tb2DyHo3Se6 at its relaxed geometry.

Cell and atoms, written as POSCAR:
```
Tb2DyHo3Se6
1.0
-2.767 1.789 2.368
-5.590 -5.468 -2.403
5.057 -4.667 5.957
Se Tb Ho Dy
6 2 3 1
direct
0.667 0.081 0.334
0.999 0.251 0.998
0.001 0.749 0.002
0.334 0.415 0.669
0.666 0.585 0.331
0.333 0.919 0.666
0.167 0.334 0.334
0.833 0.666 0.666
0.167 0.833 0.334
0.833 0.167 0.666
0.500 0.500 0.000
0.500 0.000 0.000
```

Formation energy from raw total energies ... -1.743 eV per atom
Symmetry ... C2/m
Magnetic moment ... 0.0 μB/f.u.

---

# 3
A plane-wave DFT calculation with PBE was carried out for crystalline Mn2HgSe2 at its relaxed geometry.

Cell and atoms, written as POSCAR:
```
Mn2HgSe2
1.0
-2.438 0.067 -2.639
-0.281 -3.579 0.169
-8.056 -0.937 4.972
Se Mn Hg
2 2 1
direct
0.665 0.665 0.671
0.335 0.335 0.329
0.750 0.250 0.500
0.250 0.750 0.500
0.000 0.000 0.000
```

Formation energy from raw total energies ... -0.248 eV per atom
Excess energy over the best structure of this formula in the dataset ... 0 meV/atom
Symmetry ... I4/mmm
Magnetic moment ... 2.8 μB/f.u.

---

# 4
A plane-wave DFT calculation with PBE was carried out for crystalline Th2AlRu3 at its relaxed geometry.

Cell and atoms, written as POSCAR:
```
Th2AlRu3
1.0
-1.700 0.571 4.840
1.825 -3.707 3.093
3.712 1.790 3.108
Ru Th Al
3 2 1
direct
0.000 0.500 0.000
0.000 0.000 0.500
0.500 0.000 0.000
0.364 0.364 0.364
0.636 0.636 0.636
0.000 0.000 0.000
```

Formation energy from the elements ... -529 meV per atom
Symmetry ... R-3m
Magnetic moment ... 0.0 μB/f.u.

---

- Which of these has the highest magnetic moment?
  Mn2HgSe2

---

- The highest magnetic moment belongs to which entry?
  Mn2HgSe2

---

Please write out number 3 again, unchanged.
A plane-wave DFT calculation with PBE was carried out for crystalline Mn2HgSe2 at its relaxed geometry.

Cell and atoms, written as POSCAR:
```
Mn2HgSe2
1.0
-2.438 0.067 -2.639
-0.281 -3.579 0.169
-8.056 -0.937 4.972
Se Mn Hg
2 2 1
direct
0.665 0.665 0.671
0.335 0.335 0.329
0.750 0.250 0.500
0.250 0.750 0.500
0.000 0.000 0.000
```

Formation energy from raw total energies ... -0.248 eV per atom
Excess energy over the best structure of this formula in the dataset ... 0 meV/atom
Symmetry ... I4/mmm
Magnetic moment ... 2.8 μB/f.u.